TaMn2Tc | Alexandria via LeMat-Bulk | PBE | relaxed; energy of formation from the pure elements = -0.0438 eV/atom; E = -10.18 eV/atom; relative energy among the computed polymorphs = 21 meV per atom; total magnetization = 2.1 Bohr magnetons per cell
1.0
-1.029 2.870 -0.464
-0.245 -0.576 -3.020
-5.583 -1.871 0.810
Mn Tc Ta
2 1 1
direct
0.500 0.500 0.242
0.000 0.000 0.006
0.500 0.500 0.762
0.000 0.000 0.490